Below is an optimized crystal structure of Th4SnH5, with properties calculated at the PBE level.

Cell: 7.173 9.845 5.412 Å, 90.00 90.00 90.00°
Positions (direct):
Th  0.009  0.250  0.095
Th  0.250  0.554  0.443
Th  0.250  0.946  0.443
Th  0.491  0.250  0.095
Th  0.509  0.750  0.905
Th  0.750  0.054  0.557
Th  0.750  0.446  0.557
Th  0.991  0.750  0.905
Sn  0.250  0.250  0.601
Sn  0.750  0.750  0.399
H  0.020  0.536  0.738
H  0.020  0.964  0.738
H  0.250  0.750  0.179
H  0.480  0.536  0.738
H  0.480  0.964  0.738
H  0.520  0.036  0.262
H  0.520  0.464  0.262
H  0.750  0.250  0.821
H  0.980  0.036  0.262
H  0.980  0.464  0.262

* total energy: -5.32 eV per atom
* symmetry: Pmmn (59)
* ρ: 9.14 g/cm³